Record 1
VASP calculation (PBE) on crystalline LiW2Au at its relaxed geometry.

abc: 4.4567 4.4567 4.4567
angles: 60.00 60.00 60.00
Closest atoms and distances in Å follow each position.
Fractional coordinates of all 4 atoms:
1 Li 0.0000 0.0000 0.0000  8 W 2.73
2 W 0.7500 0.7500 0.7500  4 Au 2.73, 4 Li 2.73
3 Au 0.5000 0.5000 0.5000  8 W 2.73
4 W 0.2500 0.2500 0.2500  4 Li 2.73, 4 Au 2.73

## Properties
As for the total energy: -6.86 eV per atom. The energy relative to the elements comes out at 0.92 eV per atom. The calculation puts the calculated volume at 15.65 Å³/atom. The calculation puts the total magnetization at 0.00 μB per formula unit.



Record 2
VASP calculation (PBE) on crystalline LiW2Au at its relaxed geometry.

abc: 3.2567 3.2567 5.9718
angles: 90.00 90.00 90.00
Closest atoms and distances in Å follow each position.
Fractional coordinates of all 4 atoms:
1 W 0.5000 0.5000 0.2194  4 W 2.63, 1 Li 2.87
2 Au 0.0000 0.0000 0.5338  4 Li 2.61, 1 W 2.83
3 W 0.0000 0.0000 0.0078  4 W 2.63, 4 Li 2.81, 1 Au 2.83
4 Li 0.5000 0.5000 0.7391  4 Au 2.61, 5 W 2.81-2.87

## Properties
As for the total energy: -7.51 eV per atom. The energy relative to the elements comes out at 0.26 eV per atom. The calculation puts the calculated volume at 15.83 Å³/atom. The calculation puts the total magnetization at 0.00 μB per formula unit.



Record 3
VASP calculation (PBE) on crystalline LiW2Au at its relaxed geometry.

abc: 2.6900 4.5020 5.2012
angles: 90.00 90.00 90.00
Closest atoms and distances in Å follow each position.
Fractional coordinates of all 4 atoms:
1 W 0.0000 0.0000 0.9917  4 W 2.51-2.69
2 Au 0.5000 0.5000 0.2500  2 Li 2.60, 2 Au 2.69
3 W 0.0000 0.0000 0.5083  4 W 2.51-2.69
4 Li 0.5000 0.5000 0.7500  2 Au 2.60, 2 Li 2.69, 8 W 2.91

## Properties
As for the total energy: -7.32 eV per atom. The energy relative to the elements comes out at 0.45 eV per atom. The calculation puts the calculated volume at 15.75 Å³/atom. The calculation puts the total magnetization at 0.00 μB per formula unit.



Record 4
VASP calculation (PBE) on crystalline LiW2Au at its relaxed geometry.

abc: 2.6744 4.1076 5.7975
angles: 90.00 90.00 90.00
Closest atoms and distances in Å follow each position.
Fractional coordinates of all 4 atoms:
1 W 0.5000 0.5000 0.2339  6 W 2.67-2.78, 2 Li 2.89-2.91, 4 Au 2.98
2 Li 0.5000 0.5000 0.7350  2 Li 2.67, 4 Au 2.74, 6 W 2.89-2.91
3 Au 0.0000 0.0000 0.5254  2 Au 2.67, 4 Li 2.74, 5 W 2.78-2.98
4 W 0.0000 0.0000 0.0057  6 W 2.67-2.78, 1 Au 2.78, 4 Li 2.91

## Properties
As for the total energy: -7.49 eV per atom. The energy relative to the elements comes out at 0.28 eV per atom. The calculation puts the calculated volume at 15.92 Å³/atom. The calculation puts the total magnetization at 0.00 μB per formula unit.



Record 5
VASP calculation (PBE) on crystalline LiW2Au at its relaxed geometry.

abc: 2.7038 2.7038 8.8412
angles: 90.00 90.00 90.00
Closest atoms and distances in Å follow each position.
Fractional coordinates of all 4 atoms:
1 Li 0.5000 0.5000 0.7373  4 Li 2.70, 4 Au 2.79, 4 W 3.01
2 W 0.0000 0.0000 0.0002  8 W 2.70-2.96, 4 Li 3.01
3 Au 0.0000 0.0000 0.5075  4 Au 2.70, 4 Li 2.79, 4 W 2.94
4 W 0.5000 0.5000 0.2550  8 W 2.70-2.96, 4 Au 2.94

## Properties
As for the total energy: -7.48 eV per atom. The energy relative to the elements comes out at 0.30 eV per atom. The calculation puts the calculated volume at 16.16 Å³/atom. The calculation puts the total magnetization at 0.00 μB per formula unit.



Record 6
VASP calculation (PBE) on crystalline LiW2Au at its relaxed geometry.

abc: 2.7348 2.7348 9.2187
angles: 90.00 90.00 109.26
Closest atoms and distances in Å follow each position.
Fractional coordinates of all 4 atoms:
1 Li 0.5000 0.5000 0.7437  2 Au 2.69, 4 Li 2.73, 2 W 2.88
2 W 0.5000 0.5000 0.2437  6 W 2.72-2.73, 2 Au 2.91
3 Au 0.0000 0.0000 0.5085  2 Li 2.69, 4 Au 2.73, 2 W 2.91
4 W 0.0000 0.0000 0.0041  6 W 2.72-2.73, 2 Li 2.88

## Properties
As for the total energy: -7.60 eV per atom. The energy relative to the elements comes out at 0.17 eV per atom. The calculation puts the calculated volume at 16.27 Å³/atom. The calculation puts the total magnetization at 0.00 μB per formula unit.



| no. | energy above the lowest structure with this stoichiometry (eV per atom) |
| --- | --- |
| 1 | 0.745 |
| 2 | 0.092 |
| 3 | 0.280 |
| 4 | 0.113 |
| 5 | 0.128 |
| 6 | 0.000 |